No. 1
# ReSi2PC

A geometry-optimized ReSi2PC structure (PBE, the Alexandria database).

Structure (extended XYZ):
```
5
Lattice="4.4153 0.0000 0.0000 0.0000 4.4153 0.0000 0.0000 0.0000 4.3936" Properties=species:S:1:pos:R:3 pbc="T T T"
Re 0.0000 0.0000 0.0000
Si 0.0000 2.2076 2.1968
Si 2.2076 0.0000 2.1968
P 0.0000 0.0000 2.1968
C 2.2076 2.2076 0.0000
```

Values from the calculation:
Raw formation energy = 2.257 eV per atom


No. 2
# Y13Th3

A geometry-optimized Y13Th3 structure (PBE, the Alexandria database).

Structure (extended XYZ):
```
16
Lattice="7.2642 0.0000 0.0000 0.0000 5.7490 6.2752 0.0000 -5.7490 6.2752" Properties=species:S:1:pos:R:3 pbc="T T T"
Y 0.0000 0.0000 0.0000
Y 0.0000 -2.8603 8.4753
Y 0.0000 0.0000 6.3598
Y 0.0000 2.8603 8.4753
Y 1.8295 -2.8584 5.2888
Y 1.8303 0.0000 3.2002
Y 1.8295 2.8584 5.2888
Y 3.6321 -2.9105 8.4063
Y 3.6321 0.0000 6.3906
Y 3.6321 2.9105 8.4063
Y 5.4347 -2.8584 5.2888
Y 5.4339 0.0000 3.2002
Y 5.4347 2.8584 5.2888
Th 1.8415 0.0000 9.4958
Th 3.6321 0.0000 12.5184
Th 5.4227 0.0000 9.4958
```

Values from the calculation:
Formation energy from the elements = 0.029 eV/atom


No. 3
# Y2MnGa4Cu3

A geometry-optimized Y2MnGa4Cu3 structure (PBE, the Alexandria database).

Structure (extended XYZ):
```
10
Lattice="4.0548 0.0000 0.0000 0.0000 4.0548 0.0000 0.0000 0.0000 10.6187" Properties=species:S:1:pos:R:3 pbc="T T T"
Y 0.0000 2.0274 2.6314
Y 2.0274 0.0000 7.9872
Mn 0.0000 0.0000 5.3093
Ga 0.0000 0.0000 0.0000
Ga 0.0000 2.0274 6.7750
Ga 2.0274 0.0000 3.8437
Ga 2.0274 2.0274 0.0000
Cu 0.0000 2.0274 9.1785
Cu 2.0274 0.0000 1.4401
Cu 2.0274 2.0274 5.3093
```

Values from the calculation:
Formation energy from the elements = -0.397 eV/atom


Number 1: DOS at the Fermi energy 0.549 states/eV/atom, M_tot 0.11 μB per formula unit. Number 2: DOS at the Fermi energy 1.944 states/eV/atom, M_tot 0.00 μB per formula unit. Number 3: DOS at the Fermi energy 0.491 states/eV/atom, M_tot 2.88 μB per formula unit.